# NaH4, optimized geometry, DFT GGA-PBE
# electronic total energy = -0.117 Ry per atom
data_NaH4
_chemical_formula_sum 'Na1 H4'
_cell_length_a 4.355
_cell_length_b 4.355
_cell_length_c 4.355
_cell_angle_alpha 90.00
_cell_angle_beta 90.00
_cell_angle_gamma 90.00
_space_group_name_H-M_alt 'P m -3 m'
_space_group_IT_number 221
_space_group_name_Hall '-P 4 2 3'
loop_
_atom_site_label
_atom_site_type_symbol
_atom_site_fract_x
_atom_site_fract_y
_atom_site_fract_z
Na1 Na 0.000 0.000 0.000
H1 H 0.000 0.000 0.500
H2 H 0.500 0.500 0.500

---

# NaH, optimized geometry, DFT GGA-PBE
# electronic total energy = -0.184 Ry per atom
data_NaH
_chemical_formula_sum 'Na4 H4'
_cell_length_a 6.169
_cell_length_b 6.169
_cell_length_c 3.756
_cell_angle_alpha 90.00
_cell_angle_beta 90.00
_cell_angle_gamma 90.00
_space_group_name_H-M_alt 'P 42/m n m'
_space_group_IT_number 136
_space_group_name_Hall '-P 4n 2n'
loop_
_atom_site_label
_atom_site_type_symbol
_atom_site_fract_x
_atom_site_fract_y
_atom_site_fract_z
Na1 Na 0.184 0.184 0.000
H1 H 0.184 0.816 0.000

---

# NaH2, optimized geometry, DFT GGA-PBE
# electronic total energy = -0.204 Ry per atom
data_NaH2
_chemical_formula_sum 'Na4 H8'
_cell_length_a 15.181
_cell_length_b 3.252
_cell_length_c 3.266
_cell_angle_alpha 90.00
_cell_angle_beta 93.31
_cell_angle_gamma 90.00
_space_group_name_H-M_alt 'C 1 2/m 1'
_space_group_IT_number 12
loop_
_space_group_symop_operation_xyz
'x,y,z'
'-x,-y,-z'
'-x,y,-z'
'x,-y,z'
'x+1/2,y+1/2,z'
'-x+1/2,-y+1/2,-z'
'-x+1/2,y+1/2,-z'
'x+1/2,-y+1/2,z'
loop_
_atom_site_label
_atom_site_type_symbol
_atom_site_fract_x
_atom_site_fract_y
_atom_site_fract_z
Na1 Na 0.170 0.000 0.230
H1 H 0.021 0.500 0.938
H2 H 0.170 0.500 0.728